VASP calculation (GGA-PBEsol) on a geometry-optimized Ti4FeS8 structure.

abc: 6.3907 6.3907 6.6221
angles: 105.59 104.71 117.28
Closest atoms and distances in Å follow each position.
Element x y z (fractional)
Ti (0.7398, 0.2398, 0.5000)  6 S 2.38-2.43
Ti (0.2602, 0.7602, 0.5000)  6 S 2.38-2.43
Ti (0.2603, 0.7452, 0.0055)  6 S 2.36-2.43
Ti (0.7397, 0.2548, 0.9945)  6 S 2.36-2.43
Fe (0.0000, 0.0000, 0.0000)  6 S 2.26-2.28
S (0.0460, 0.2742, 0.8334)  1 Fe 2.26, 3 Ti 2.41-2.43
S (0.4408, 0.2126, 0.1666)  1 Fe 2.26, 3 Ti 2.41-2.43
S (0.9540, 0.7258, 0.1666)  1 Fe 2.26, 3 Ti 2.41-2.43
S (0.5592, 0.7874, 0.8334)  1 Fe 2.26, 3 Ti 2.41-2.43
S (0.4461, 0.2199, 0.6660)  3 Ti 2.36-2.38
S (0.5539, 0.7801, 0.3340)  3 Ti 2.36-2.38
S (0.9593, 0.7156, 0.6749)  1 Fe 2.28, 3 Ti 2.42-2.43
S (0.0407, 0.2844, 0.3251)  1 Fe 2.28, 3 Ti 2.42-2.43

Output
formation energy without anion corrections	-1.3086	eV per atom
symmetry	C2/m
DOS at the Fermi energy	5.628	states/eV/cell